Entry 1:
Below is EuSnBi after structural relaxation, with properties calculated at the PBE level.

a = 3.508 Å, b = 5.561 Å, c = 5.561 Å
α = 120.00°, β = 90.00°, γ = 90.00°
Last column: magnetic moment on the atom in μB.
Sites, in units of the cell vectors:
Eu 0.667 0.333 0.667  -6.91
Bi 0.167 0.000 0.000  0.01
Sn 0.167 0.667 0.333  -0.01

The value obtained for the density of states at the Fermi level is 1.71 states/eV/f.u. As for the size of the total moment: 7.21 μB per formula unit. As for the electronic total energy: -19.47 eV/cell.



Entry 2:
Below is EuSnBi2 after structural relaxation, with properties calculated at the PBE level.

a = 4.946 Å, b = 4.956 Å, c = 4.956 Å
α = 90.00°, β = 90.00°, γ = 90.00°
Last column: magnetic moment on the atom in μB.
Sites, in units of the cell vectors:
Eu 0.500 0.500 0.500  6.79
Bi 0.000 0.000 0.500  -0.03
Bi 0.000 0.500 0.000  -0.03
Sn 0.500 0.000 0.000  -0.01

The value obtained for the density of states at the Fermi level is 2.99 states/eV/f.u. As for the size of the total moment: 6.88 μB per formula unit. As for the electronic total energy: -23.84 eV/cell.



Entry 3:
Below is EuSnBi2 after structural relaxation, with properties calculated at the PBE level.

a = 4.333 Å, b = 4.333 Å, c = 6.640 Å
α = 90.00°, β = 90.00°, γ = 90.00°
Last column: magnetic moment on the atom in μB.
Sites, in units of the cell vectors:
Eu 0.500 0.500 0.500  6.84
Bi 0.000 0.000 0.751  -0.02
Bi 0.000 0.000 0.249  -0.02
Sn 0.500 0.500 0.000  0.02

The value obtained for the density of states at the Fermi level is 5.69 states/eV/f.u. As for the size of the total moment: 7.07 μB per formula unit. As for the electronic total energy: -23.55 eV/cell.



Entry 4:
Below is EuSn4Bi after structural relaxation, with properties calculated at the PBE level.

a = 6.288 Å, b = 6.288 Å, c = 6.288 Å
α = 60.00°, β = 60.00°, γ = 60.00°
Last column: magnetic moment on the atom in μB.
Sites, in units of the cell vectors:
Eu 0.250 0.250 0.250  -6.88
Bi 0.000 0.000 0.000  -0.07
Sn 0.625 0.625 0.124  -0.01
Sn 0.625 0.124 0.625  -0.01
Sn 0.625 0.625 0.625  -0.01
Sn 0.124 0.625 0.625  -0.01

The value obtained for the density of states at the Fermi level is 8.67 states/eV/f.u. As for the size of the total moment: 7.33 μB per formula unit. As for the electronic total energy: -31.34 eV/cell.



Entry 5:
Below is SrEuSnBi after structural relaxation, with properties calculated at the PBE level.

a = 5.740 Å, b = 5.740 Å, c = 5.740 Å
α = 60.00°, β = 60.00°, γ = 60.00°
Last column: magnetic moment on the atom in μB.
Sites, in units of the cell vectors:
Eu 0.000 0.000 0.000  6.84
Sr 0.500 0.500 0.500  0.00
Bi 0.750 0.750 0.750  -0.01
Sn 0.250 0.250 0.250  0.01

The value obtained for the density of states at the Fermi level is 3.18 states/eV/f.u. As for the size of the total moment: 7.06 μB per formula unit. As for the electronic total energy: -22.33 eV/cell.



Entry 6:
Below is TbEuSnBi after structural relaxation, with properties calculated at the PBE level.

a = 5.544 Å, b = 5.544 Å, c = 5.544 Å
α = 60.00°, β = 60.00°, γ = 60.00°
Last column: magnetic moment on the atom in μB.
Sites, in units of the cell vectors:
Eu 0.000 0.000 0.000  6.80
Tb 0.500 0.500 0.500  -0.01
Bi 0.750 0.750 0.750  -0.06
Sn 0.250 0.250 0.250  -0.06

The value obtained for the density of states at the Fermi level is 4.41 states/eV/f.u. As for the size of the total moment: 6.84 μB per formula unit. As for the electronic total energy: -25.09 eV/cell.



Entry 7:
Below is EuTlSnBi after structural relaxation, with properties calculated at the PBE level.

a = 5.604 Å, b = 5.604 Å, c = 5.604 Å
α = 60.00°, β = 60.00°, γ = 60.00°
Last column: magnetic moment on the atom in μB.
Sites, in units of the cell vectors:
Eu 0.750 0.750 0.750  6.87
Tl 0.500 0.500 0.500  0.02
Bi 0.000 0.000 0.000  0.04
Sn 0.250 0.250 0.250  0.01

The value obtained for the density of states at the Fermi level is 3.53 states/eV/f.u. As for the size of the total moment: 7.24 μB per formula unit. As for the electronic total energy: -21.61 eV/cell.



Entry 8:
Below is SrEuBi2 after structural relaxation, with properties calculated at the PBE level.

a = 5.807 Å, b = 5.807 Å, c = 5.807 Å
α = 60.00°, β = 60.00°, γ = 60.00°
Last column: magnetic moment on the atom in μB.
Sites, in units of the cell vectors:
Eu 0.000 0.000 0.000  6.84
Sr 0.500 0.500 0.500  0.00
Bi 0.250 0.250 0.250  -0.02
Bi 0.750 0.750 0.750  -0.02

The value obtained for the density of states at the Fermi level is 9.67 states/eV/f.u. As for the size of the total moment: 6.97 μB per formula unit. As for the electronic total energy: -22.62 eV/cell.



Entry 9:
Below is SrEuBi4 after structural relaxation, with properties calculated at the PBE level.

a = 6.707 Å, b = 6.707 Å, c = 6.707 Å
α = 60.00°, β = 60.00°, γ = 60.00°
Last column: magnetic moment on the atom in μB.
Sites, in units of the cell vectors:
Eu 0.000 0.000 0.000  -6.93
Sr 0.250 0.250 0.250  -0.01
Bi 0.625 0.625 0.125  0.02
Bi 0.625 0.125 0.625  0.02
Bi 0.625 0.625 0.625  0.02
Bi 0.125 0.625 0.625  0.02

The value obtained for the density of states at the Fermi level is 4.56 states/eV/f.u. As for the size of the total moment: 7.20 μB per formula unit. As for the electronic total energy: -29.84 eV/cell.



Entry 10:
Below is SrEuBi after structural relaxation, with properties calculated at the PBE level.

a = 4.444 Å, b = 4.444 Å, c = 6.358 Å
α = 110.46°, β = 110.46°, γ = 90.00°
Last column: magnetic moment on the atom in μB.
Sites, in units of the cell vectors:
Eu 0.637 0.637 0.273  -7.03
Sr 0.935 0.935 0.870  -0.11
Bi 0.278 0.278 0.557  0.08

The value obtained for the density of states at the Fermi level is 2.42 states/eV/f.u. As for the size of the total moment: 7.99 μB per formula unit. As for the electronic total energy: -17.46 eV/cell.



Entry 11:
Below is SrEuBi2 after structural relaxation, with properties calculated at the PBE level.

a = 3.896 Å, b = 3.896 Å, c = 8.994 Å
α = 90.00°, β = 90.00°, γ = 90.00°
Last column: magnetic moment on the atom in μB.
Sites, in units of the cell vectors:
Eu 0.500 0.500 0.000  6.87
Sr 0.500 0.500 0.500  -0.01
Bi 0.000 0.000 0.756  -0.03
Bi 0.000 0.000 0.244  -0.03

The value obtained for the density of states at the Fermi level is 6.95 states/eV/f.u. As for the size of the total moment: 6.99 μB per formula unit. As for the electronic total energy: -22.75 eV/cell.



Entry 12:
Below is SrEuBi after structural relaxation, with properties calculated at the PBE level.

a = 5.609 Å, b = 5.609 Å, c = 5.609 Å
α = 60.00°, β = 60.00°, γ = 60.00°
Last column: magnetic moment on the atom in μB.
Sites, in units of the cell vectors:
Eu 0.500 0.500 0.500  -6.95
Sr 0.000 0.000 0.000  -0.04
Bi 0.250 0.250 0.250  0.06

The value obtained for the density of states at the Fermi level is 2.09 states/eV/f.u. As for the size of the total moment: 7.44 μB per formula unit. As for the electronic total energy: -17.78 eV/cell.



Please write out number 7 again, unchanged.
Below is EuTlSnBi after structural relaxation, with properties calculated at the PBE level.

a = 5.604 Å, b = 5.604 Å, c = 5.604 Å
α = 60.00°, β = 60.00°, γ = 60.00°
Last column: magnetic moment on the atom in μB.
Sites, in units of the cell vectors:
Eu 0.750 0.750 0.750  6.87
Tl 0.500 0.500 0.500  0.02
Bi 0.000 0.000 0.000  0.04
Sn 0.250 0.250 0.250  0.01

The value obtained for the density of states at the Fermi level is 3.53 states/eV/f.u. As for the size of the total moment: 7.24 μB per formula unit. As for the electronic total energy: -21.61 eV/cell.



- electronic total energy of number 7 (EuTlSnBi)?
  -21.61 eV/cell



- Which of these has the highest electronic total energy?
  number 10